Nd2PuSnN5 PBE optimized geometry; energy relative to the elements, uncorrected = -819.1 meV per atom; DOS at the Fermi energy = 5.94 states/eV/f.u.; symmetry = Cmc2_1, No. 36; volume = 133.03 Å³/f.u.
1.0
3.4934 0.0000 0.0000
-1.7467 7.1573 0.0000
0.0000 0.0000 10.6414
Nd Pu Sn N
4 2 2 10
Direct
0.8676 0.7352 0.7912 Nd
0.1106 0.2213 0.6946 Nd
0.1324 0.2648 0.2912 Nd
0.8894 0.7787 0.1946 Nd
0.7842 0.5684 0.5081 Pu
0.2158 0.4316 0.0081 Pu
0.5192 0.0385 0.9686 Sn
0.4808 0.9615 0.4686 Sn
0.3689 0.7378 0.0045 N
0.6955 0.3910 0.8777 N
0.4955 0.9910 0.7766 N
0.2808 0.5615 0.6408 N
0.9423 0.8845 0.5619 N
0.6311 0.2622 0.5045 N
0.3045 0.6090 0.3777 N
0.5045 0.0090 0.2766 N
0.7192 0.4385 0.1408 N
0.0577 0.1155 0.0619 N